[1]
Computed, not measured: a relaxed Hf2TaN crystal at the PBE-GGA level of DFT.

As for the uncorrected formation energy: -0.446 eV per atom. The calculation puts the theoretical density at 14.37 g/cm³. The calculation puts the density of states at the Fermi level at 7.60 states/eV/cell.

The structure belongs to space group Pnma (No. 62); the cell edges are 5.730, 8.046 and 5.531 Å and the angles 90.00°, 90.00° and 90.00°. The distinct sites, in fractional coordinates, are Hf at (0.197, 0.072, 0.162), Ta at (0.045, 0.250, 0.682) and N at (0.132, 0.750, 0.970).

[2]
Computed, not measured: a relaxed Hf2TaN crystal at the PBE-GGA level of DFT.

As for the uncorrected formation energy: -0.072 eV per atom. The calculation puts the theoretical density at 11.75 g/cm³. The calculation puts the density of states at the Fermi level at 13.75 states/eV/cell.

The structure belongs to space group I-42d (No. 122); the cell edges are 6.344, 6.344 and 7.753 Å and the angles 90.00°, 90.00° and 90.00°. The distinct sites, in fractional coordinates, are Hf at (0.136, 0.250, 0.125), Ta at (0.000, 0.000, 0.500) and N at (0.000, 0.000, 0.000).

[3]
Computed, not measured: a relaxed Tb2HfTaN4 crystal at the PBE-GGA level of DFT.

As for the uncorrected formation energy: -1.564 eV per atom. The calculation puts the theoretical density at 11.93 g/cm³. The calculation puts the density of states at the Fermi level at 1.71 states/eV/cell.

The structure belongs to space group P2/m (No. 10); the cell edges are 5.687, 3.276 and 5.795 Å and the angles 90.00°, 109.04° and 90.00°. The distinct sites, in fractional coordinates, are Tb at (0.000, 0.000, 0.000), Tb at (0.500, 0.500, 0.000), Hf at (0.000, 0.500, 0.500), Ta at (0.500, 0.000, 0.500), N at (0.243, 0.000, 0.721) and N at (0.264, 0.500, 0.281).

[4]
Computed, not measured: a relaxed HfTa2TeN crystal at the PBE-GGA level of DFT.

As for the uncorrected formation energy: -0.117 eV per atom. The calculation puts the theoretical density at 12.48 g/cm³. The calculation puts the density of states at the Fermi level at 3.19 states/eV/cell.

The structure belongs to space group P4/mmm (No. 123); the cell edges are 4.145, 4.145 and 5.281 Å and the angles 90.00°, 90.00° and 90.00°. The distinct sites, in fractional coordinates, are Hf at (0.000, 0.000, 0.000), Ta at (0.000, 0.500, 0.500), Te at (0.500, 0.500, 0.000) and N at (0.500, 0.500, 0.500).

[5]
Computed, not measured: a relaxed HfTaTe2N crystal at the PBE-GGA level of DFT.

As for the uncorrected formation energy: 0.158 eV per atom. The calculation puts the theoretical density at 8.87 g/cm³. The calculation puts the density of states at the Fermi level at 2.64 states/eV/cell.

The structure belongs to space group P4/mmm (No. 123); the cell edges are 5.529, 5.529 and 3.851 Å and the angles 90.00°, 90.00° and 90.00°. The distinct sites, in fractional coordinates, are Hf at (0.000, 0.000, 0.000), Ta at (0.500, 0.500, 0.500), Te at (0.000, 0.500, 0.500) and N at (0.500, 0.500, 0.000).

[6]
Computed, not measured: a relaxed HfTaTe2N crystal at the PBE-GGA level of DFT.

As for the uncorrected formation energy: 0.558 eV per atom. The calculation puts the theoretical density at 8.45 g/cm³. The calculation puts the density of states at the Fermi level at 7.30 states/eV/cell.

The structure belongs to space group P4/mmm (No. 123); the cell edges are 5.625, 5.625 and 3.904 Å and the angles 90.00°, 90.00° and 90.00°. The distinct sites, in fractional coordinates, are Hf at (0.000, 0.000, 0.000), Ta at (0.500, 0.500, 0.500), Te at (0.000, 0.500, 0.000) and N at (0.000, 0.000, 0.500).